GGA-PBE Li2CuHgH, relaxed; SG = P4/mmm; DOS at the Fermi energy = 1.30 states/eV/f.u.; energy = -2.515 eV per atom
1.0
-2.558 2.991 1.574
-0.826 -2.468 3.346
2.723 1.422 1.721
H Hg Cu Li
1 1 1 2
direct
0.000 0.000 0.000 H
0.500 0.500 0.500 Hg
0.000 0.000 0.500 Cu
0.000 0.500 0.000 Li
0.500 0.000 0.000 Li

=====

GGA-PBE LiCuHg2H, relaxed; SG = P4/mmm; DOS at the Fermi energy = 1.29 states/eV/f.u.; energy = -1.927 eV per atom
1.0
5.414 0.000 0.000
0.000 3.181 0.000
0.000 0.000 5.414
H Hg Cu Li
1 2 1 1
direct
0.000 0.500 0.000 H
0.000 0.000 0.500 Hg
0.500 0.000 0.000 Hg
0.000 0.000 0.000 Cu
0.500 0.500 0.500 Li

=====

GGA-PBE Nb2CuHgH, relaxed; SG = P4/mmm; DOS at the Fermi energy = 3.59 states/eV/f.u.; energy = -5.518 eV per atom
1.0
4.050 0.000 0.000
0.000 4.050 0.000
0.000 0.000 4.352
H Nb Hg Cu
1 2 1 1
direct
0.000 0.000 0.000 H
0.000 0.500 0.000 Nb
0.500 0.000 0.000 Nb
0.500 0.500 0.500 Hg
0.000 0.000 0.500 Cu

=====

GGA-PBE NbCuHgH2, relaxed; SG = P4/mmm; DOS at the Fermi energy = 3.89 states/eV/f.u.; energy = -3.282 eV per atom
1.0
3.856 0.000 0.000
0.000 5.068 0.000
0.000 0.000 3.856
H Nb Hg Cu
2 1 1 1
direct
0.000 0.000 0.500 H
0.500 0.000 0.000 H
0.000 0.500 0.000 Nb
0.500 0.500 0.500 Hg
0.000 0.000 0.000 Cu

=====

Which value of DOS at the Fermi energy does entry 2 give?
1.29 states/eV/f.u.